{"formula": "YTl2MoO6", "functional": "PBE with a Hubbard U", "state": "optimized geometry", "volume_a3_per_atom": 21.6, "total_energy_ev_per_atom": -6.358, "spacegroup": "P-3m1 (164)", "lattice": [[6.485, 0.000, 0.000], [-3.242, 5.616, 0.000], [0.000, 0.000, 5.918]], "species": ["Y", "Tl", "Tl", "Mo", "O", "O", "O", "O", "O", "O"], "frac_coords": [[0.000, 0.000, 0.000], [0.333, 0.667, 0.537], [0.667, 0.333, 0.463], [0.000, 0.000, 0.500], [0.136, 0.272, 0.707], [0.136, 0.864, 0.707], [0.272, 0.136, 0.293], [0.728, 0.864, 0.707], [0.864, 0.136, 0.293], [0.864, 0.728, 0.293]]}